# CoRhIO2 (PBE with a Hubbard U, optimized geometry)
# Fermi-level density of states ... 0.6594 states/eV/atom
# Energy ... -4.786 eV per atom
data_CoRhIO2
_space_group_name_H-M_alt 'P 4/m m m'
_space_group_IT_number 123
_space_group_name_Hall '-P 4 2'
_cell_length_a 3.773
_cell_length_b 3.773
_cell_length_c 7.941
_cell_angle_alpha 90.00
_cell_angle_beta 90.00
_cell_angle_gamma 90.00
loop_
_atom_site_label
_atom_site_type_symbol
_atom_site_fract_x
_atom_site_fract_y
_atom_site_fract_z
Co1 Co 0.000 0.000 0.000
Rh1 Rh 0.500 0.500 0.500
I1 I 0.500 0.500 0.000
O1 O 0.000 0.500 0.500